# 1
The following is a PBE calculation of Ce2CoSi2Tc after structural relaxation, from Alexandria.

extended XYZ file:
```
12
Lattice="-0.8794 -5.7605 -0.5017 3.0991 -0.9069 4.9810 -6.6958 3.8752 1.3345" Properties=species:S:1:pos:R:3 pbc="T T T"
Si -4.7614 -0.9093 2.7969
Si -1.6767 -4.1312 0.2910
Si 0.2853 -1.8830 3.0168
Si -2.7994 1.3389 5.5227
Co 1.8846 -3.5604 3.4849
Co 0.3351 -3.1070 0.9944
Tc 0.7748 -0.2267 1.2452
Tc 2.3243 -0.6802 3.7357
Ce -3.5891 1.8208 2.5646
Ce -1.9934 -1.2567 1.0115
Ce -0.8870 -4.6131 3.2491
Ce -2.4827 -1.5355 4.8023
```

## Properties
spin magnetization = 1.2 μB/f.u.
E_tot = -87.89 eV per cell
V = 19.25 Å³/atom
raw formation energy = -627 meV per atom
space group = Ibam, No. 72



# 2
The following is a PBE calculation of Ce2Th2CoSi4 after structural relaxation, from Alexandria.

extended XYZ file:
```
9
Lattice="6.3266 0.2780 0.4013 -2.7930 5.6836 -0.4013 -2.7930 -2.3725 5.1802" Properties=species:S:1:pos:R:3 pbc="T T T"
Ce -3.8459 2.2796 3.2903
Ce -1.7401 1.0314 1.4887
Si -2.7930 -0.4933 3.8783
Si -0.9079 2.6870 3.8783
Si -2.7930 3.8044 0.9007
Si 1.6485 0.9020 1.3020
Co 0.0000 0.0000 0.0000
Th 0.3703 -0.2195 3.9855
Th 0.3703 3.8085 1.1947
```

## Properties
spin magnetization = 1.5 μB/f.u.
E_tot = -59.09 eV per cell
V = 21.51 Å³/atom
raw formation energy = -398 meV per atom
space group = I4/mmm, No. 139



# 3
The following is a PBE calculation of Ce2ZnCo5Si2 after structural relaxation, from Alexandria.

extended XYZ file:
```
20
Lattice="3.3393 0.0000 0.0000 0.0000 9.4581 0.0000 0.0000 0.0000 9.4581" Properties=species:S:1:pos:R:3 pbc="T T T"
Co 1.6697 0.6280 7.3491
Co 1.6697 5.3570 6.8381
Co 1.6697 2.6200 5.3570
Co 1.6697 6.8381 4.1011
Co 1.6697 4.7290 0.0000
Co 1.6697 0.0000 4.7290
Co 1.6697 7.3491 8.8301
Co 1.6697 2.1090 0.6280
Co 1.6697 8.8301 2.1090
Co 1.6697 4.1011 2.6200
Si 0.0000 3.6408 1.0882
Si 0.0000 8.3699 3.6408
Si 0.0000 1.0882 5.8173
Si 0.0000 5.8173 8.3699
Ce 0.0000 7.7396 6.4476
Ce 0.0000 1.7185 3.0105
Ce 0.0000 3.0105 7.7396
Ce 0.0000 6.4476 1.7185
Zn 0.0000 4.7290 4.7290
Zn 0.0000 0.0000 0.0000
```

## Properties
spin magnetization = 0.4 μB/f.u.
E_tot = -124.98 eV per cell
V = 14.94 Å³/atom
raw formation energy = -297 meV per atom
space group = P4/mbm, No. 127